! Hf2VCo | Alexandria | GGA-PBE | optimized geometry; values from VASP
&SYSTEM
  ibrav = 0, nat = 4, ntyp = 3
/
ATOMIC_SPECIES
Co 58.93 Co.upf
Hf 178.49 Hf.upf
V 50.94 V.upf
CELL_PARAMETERS angstrom
3.1903 0.0000 0.0000
0.0000 3.1903 0.0000
0.0000 0.0000 6.5384
ATOMIC_POSITIONS angstrom
Co 1.5951 1.5951 0.0000
Hf 0.0000 0.0000 4.9763
Hf 0.0000 0.0000 1.5621
V 1.5951 1.5951 3.2692
! Space-group type: No. 123
! Excess energy over the best structure of this formula in the dataset (eV/f.u.): 0.00
! Formation energy from the elements (eV/f.u.): -0.56
! Mass density (kg/m³): 11649



! Sc2CdAg | Alexandria | GGA-PBE | optimized geometry; values from VASP
&SYSTEM
  ibrav = 0, nat = 4, ntyp = 3
/
ATOMIC_SPECIES
Sc 44.96 Sc.upf
Cd 112.41 Cd.upf
Ag 107.87 Ag.upf
CELL_PARAMETERS angstrom
5.9352 0.0076 0.0080
2.8783 5.1905 -0.0080
-3.8512 -3.5409 2.8029
ATOMIC_POSITIONS angstrom
Sc 3.0815 -0.5637 1.4054
Sc 0.0524 0.0309 0.0000
Cd 1.8740 2.2170 1.3974
Ag 4.3610 2.5721 0.0000
! Space-group type: No. 44
! Formation energy from the elements (eV/f.u.): -0.67
! Mass density (kg/m³): 5976



! Li2ErCd3 | Alexandria | GGA-PBE | optimized geometry; values from VASP
&SYSTEM
  ibrav = 0, nat = 6, ntyp = 3
/
ATOMIC_SPECIES
Li 6.94 Li.upf
Cd 112.41 Cd.upf
Er 167.26 Er.upf
CELL_PARAMETERS angstrom
3.4266 0.0000 0.0000
0.0000 3.4266 0.0000
0.0000 0.0000 10.6070
ATOMIC_POSITIONS angstrom
Li 1.7133 1.7133 1.6196
Li 1.7133 1.7133 8.9874
Cd 0.0000 0.0000 0.0000
Cd 0.0000 0.0000 3.1717
Cd 0.0000 0.0000 7.4353
Er 1.7133 1.7133 5.3035
! Space-group type: No. 123
! Excess energy over the best structure of this formula in the dataset (eV/f.u.): 0.00
! Formation energy from the elements (eV/f.u.): -1.60
! Mass density (kg/m³): 6912



! MgTa2Si | Alexandria | GGA-PBE | optimized geometry; values from VASP
&SYSTEM
  ibrav = 0, nat = 4, ntyp = 3
/
ATOMIC_SPECIES
Ta 180.95 Ta.upf
Mg 24.30 Mg.upf
Si 28.09 Si.upf
CELL_PARAMETERS angstrom
2.8288 0.0000 0.0000
0.0000 2.8288 0.0000
0.0000 0.0000 8.8118
ATOMIC_POSITIONS angstrom
Ta 0.0000 0.0000 8.6091
Ta 1.4144 1.4144 2.1559
Mg 0.0000 0.0000 4.5660
Si 1.4144 1.4144 6.6985
! Space-group type: No. 99
! ΔE_f (raw) (eV per atom): 0.101
! Mass density (kg/m³): 9756